No. 1
Entry from Alexandria via LeMat-Bulk: a relaxed Np2Ni12P3Pt crystal (GGA-PBE).

Structure (POSCAR):
```
Np2Ni12P3Pt
1.0
4.142 2.391 4.015
-4.142 2.391 4.015
0.000 -4.783 4.015
Np Ni P Pt
2 12 3 1
direct
0.095 0.095 0.095 Np
0.905 0.905 0.905 Np
0.139 0.139 0.566 Ni
0.139 0.566 0.139 Ni
0.162 0.687 0.687 Ni
0.313 0.313 0.838 Ni
0.313 0.838 0.313 Ni
0.434 0.861 0.861 Ni
0.566 0.139 0.139 Ni
0.687 0.162 0.687 Ni
0.687 0.687 0.162 Ni
0.838 0.313 0.313 Ni
0.861 0.434 0.861 Ni
0.861 0.861 0.434 Ni
0.000 0.500 0.500 P
0.500 0.000 0.500 P
0.500 0.500 0.000 P
0.500 0.500 0.500 Pt
```

Results
The calculated volume comes out at 13.3 Å³/atom. The uncorrected energy comes out at -6.538 eV per atom. The value obtained for the energy of formation is -0.01 eV per atom.

No. 2
Entry from Alexandria via LeMat-Bulk: a relaxed Np2Ni4P3Pt crystal (GGA-PBE).

Structure (POSCAR):
```
Np2Ni4P3Pt
1.0
3.810 0.000 0.000
0.000 3.810 0.000
0.000 0.000 10.176
Np Ni P Pt
2 4 3 1
direct
0.000 0.500 0.246 Np
0.500 0.000 0.754 Np
0.000 0.000 0.000 Ni
0.000 0.500 0.661 Ni
0.500 0.000 0.339 Ni
0.500 0.500 0.000 Ni
0.000 0.500 0.876 P
0.500 0.000 0.124 P
0.500 0.500 0.500 P
0.000 0.000 0.500 Pt
```

Results
The calculated volume comes out at 14.8 Å³/atom. The uncorrected energy comes out at -7.722 eV per atom. The value obtained for the energy of formation is -0.59 eV per atom.

No. 3
Entry from Alexandria via LeMat-Bulk: a relaxed Np2NiP3Rh4 crystal (GGA-PBE).

Structure (POSCAR):
```
Np2NiP3Rh4
1.0
4.012 0.000 0.000
0.000 4.012 0.000
0.000 0.000 10.012
Np Ni P Rh
2 1 3 4
direct
0.000 0.500 0.239 Np
0.500 0.000 0.761 Np
0.500 0.500 0.000 Ni
0.000 0.000 0.000 P
0.000 0.500 0.635 P
0.500 0.000 0.365 P
0.000 0.000 0.500 Rh
0.000 0.500 0.864 Rh
0.500 0.000 0.136 Rh
0.500 0.500 0.500 Rh
```

Results
The calculated volume comes out at 16.1 Å³/atom. The uncorrected energy comes out at -8.392 eV per atom. The value obtained for the energy of formation is -0.66 eV per atom.

No. 4
Entry from Alexandria via LeMat-Bulk: a relaxed Np2Ni4P3Rh crystal (GGA-PBE).

Structure (POSCAR):
```
Np2Ni4P3Rh
1.0
3.784 0.000 0.000
0.000 3.784 0.000
0.000 0.000 10.162
Np Ni P Rh
2 4 3 1
direct
0.000 0.500 0.250 Np
0.500 0.000 0.750 Np
0.000 0.000 0.000 Ni
0.000 0.500 0.660 Ni
0.500 0.000 0.340 Ni
0.500 0.500 0.000 Ni
0.000 0.500 0.876 P
0.500 0.000 0.124 P
0.500 0.500 0.500 P
0.000 0.000 0.500 Rh
```

Results
The calculated volume comes out at 14.5 Å³/atom. The uncorrected energy comes out at -7.838 eV per atom. The value obtained for the energy of formation is -0.58 eV per atom.

No. 5
Entry from Alexandria via LeMat-Bulk: a relaxed NpNiP2Rh crystal (GGA-PBE).

Structure (POSCAR):
```
NpNiP2Rh
1.0
-1.930 1.930 5.025
1.930 -1.930 5.025
1.930 1.930 -5.025
Np Ni P Rh
1 1 2 1
direct
0.000 0.000 0.000 Np
0.250 0.750 0.500 Ni
0.386 0.386 0.000 P
0.614 0.614 0.000 P
0.750 0.250 0.500 Rh
```

Results
The calculated volume comes out at 15.0 Å³/atom. The uncorrected energy comes out at -8.117 eV per atom. The value obtained for the energy of formation is -0.74 eV per atom.

No. 6
Entry from Alexandria via LeMat-Bulk: a relaxed Np2Ni12P3Rh crystal (GGA-PBE).

Structure (POSCAR):
```
Np2Ni12P3Rh
1.0
4.133 2.386 3.994
-4.133 2.386 3.994
0.000 -4.772 3.994
Np Ni P Rh
2 12 3 1
direct
0.096 0.096 0.096 Np
0.904 0.904 0.904 Np
0.140 0.140 0.562 Ni
0.140 0.562 0.140 Ni
0.164 0.688 0.688 Ni
0.312 0.312 0.836 Ni
0.312 0.836 0.312 Ni
0.438 0.860 0.860 Ni
0.562 0.140 0.140 Ni
0.688 0.164 0.688 Ni
0.688 0.688 0.164 Ni
0.836 0.312 0.312 Ni
0.860 0.438 0.860 Ni
0.860 0.860 0.438 Ni
0.000 0.500 0.500 P
0.500 0.000 0.500 P
0.500 0.500 0.000 P
0.500 0.500 0.500 Rh
```

Results
The calculated volume comes out at 13.1 Å³/atom. The uncorrected energy comes out at -6.596 eV per atom. The value obtained for the energy of formation is 0.01 eV per atom.

No. 7
Entry from Alexandria via LeMat-Bulk: a relaxed Np2NiP4Rh3 crystal (GGA-PBE).

Structure (POSCAR):
```
Np2NiP4Rh3
1.0
4.136 0.000 0.000
0.000 4.136 0.000
0.000 0.000 9.341
Np Ni P Rh
2 1 4 3
direct
0.000 0.500 0.248 Np
0.500 0.000 0.752 Np
0.000 0.000 0.500 Ni
0.000 0.000 0.000 P
0.000 0.500 0.632 P
0.500 0.000 0.368 P
0.500 0.500 0.000 P
0.000 0.500 0.885 Rh
0.500 0.000 0.115 Rh
0.500 0.500 0.500 Rh
```

Results
The calculated volume comes out at 16.0 Å³/atom. The uncorrected energy comes out at -8.260 eV per atom. The value obtained for the energy of formation is -0.72 eV per atom.

No. 8
Entry from Alexandria via LeMat-Bulk: a relaxed NpNiP2Ru crystal (GGA-PBE).

Structure (POSCAR):
```
NpNiP2Ru
1.0
-1.914 1.914 5.060
1.914 -1.914 5.060
1.914 1.914 -5.060
Np Ni P Ru
1 1 2 1
direct
0.000 0.000 0.000 Np
0.750 0.250 0.500 Ni
0.385 0.385 0.000 P
0.615 0.615 0.000 P
0.250 0.750 0.500 Ru
```

Results
The calculated volume comes out at 14.8 Å³/atom. The uncorrected energy comes out at -8.451 eV per atom. The value obtained for the energy of formation is -0.69 eV per atom.

No. 9
Entry from Alexandria via LeMat-Bulk: a relaxed NpNiP2Ru2 crystal (GGA-PBE).

Structure (POSCAR):
```
NpNiP2Ru2
1.0
3.847 0.000 0.000
0.000 7.872 0.000
0.000 0.000 5.895
Np Ni P Ru
2 2 4 4
direct
0.000 0.055 0.000 Np
0.000 0.945 0.500 Np
0.500 0.239 0.670 Ni
0.500 0.761 0.170 Ni
0.000 0.376 0.788 P
0.000 0.624 0.288 P
0.500 0.186 0.298 P
0.500 0.814 0.798 P
0.000 0.341 0.393 Ru
0.000 0.659 0.893 Ru
0.500 0.417 0.050 Ru
0.500 0.583 0.550 Ru
```

Results
The calculated volume comes out at 14.9 Å³/atom. The uncorrected energy comes out at -8.553 eV per atom. The value obtained for the energy of formation is -0.54 eV per atom.

No. 10
Entry from Alexandria via LeMat-Bulk: a relaxed NpNiPSe crystal (GGA-PBE).

Structure (POSCAR):
```
NpNiPSe
1.0
3.903 0.000 0.000
0.000 3.903 0.000
0.000 0.000 9.100
Np Ni P Se
2 2 2 2
direct
0.250 0.250 0.246 Np
0.750 0.750 0.754 Np
0.250 0.750 0.500 Ni
0.750 0.250 0.500 Ni
0.250 0.250 0.642 P
0.750 0.750 0.358 P
0.250 0.750 0.000 Se
0.750 0.250 0.000 Se
```

Results
The calculated volume comes out at 17.3 Å³/atom. The uncorrected energy comes out at -7.612 eV per atom.

No. 11
Entry from Alexandria via LeMat-Bulk: a relaxed Np2TcNi3P4 crystal (GGA-PBE).

Structure (POSCAR):
```
Np2TcNi3P4
1.0
4.016 0.000 0.000
0.000 4.016 0.000
0.000 0.000 9.174
Np Tc Ni P
2 1 3 4
direct
0.000 0.500 0.237 Np
0.500 0.000 0.763 Np
0.000 0.000 0.500 Tc
0.000 0.500 0.888 Ni
0.500 0.000 0.112 Ni
0.500 0.500 0.500 Ni
0.000 0.000 0.000 P
0.000 0.500 0.641 P
0.500 0.000 0.359 P
0.500 0.500 0.000 P
```

Results
The calculated volume comes out at 14.8 Å³/atom. The uncorrected energy comes out at -8.208 eV per atom. The value obtained for the energy of formation is -0.69 eV per atom.

No. 12
Entry from Alexandria via LeMat-Bulk: a relaxed NpTc2NiP2 crystal (GGA-PBE).

Structure (POSCAR):
```
NpTc2NiP2
1.0
3.930 0.000 0.000
0.000 7.871 0.000
0.000 0.000 5.796
Np Tc Ni P
2 4 2 4
direct
0.000 0.057 0.000 Np
0.000 0.943 0.500 Np
0.000 0.331 0.410 Tc
0.000 0.669 0.910 Tc
0.500 0.428 0.057 Tc
0.500 0.572 0.557 Tc
0.500 0.227 0.685 Ni
0.500 0.773 0.185 Ni
0.000 0.383 0.805 P
0.000 0.617 0.305 P
0.500 0.183 0.302 P
0.500 0.817 0.802 P
```

Results
The calculated volume comes out at 14.9 Å³/atom. The uncorrected energy comes out at -8.888 eV per atom. The value obtained for the energy of formation is -0.51 eV per atom.

| no. | total magnetic moment (μB per cell) |
| --- | --- |
| 1 | 2.42 |
| 2 | 6.63 |
| 3 | 7.08 |
| 4 | 6.41 |
| 5 | 3.18 |
| 6 | 2.78 |
| 7 | 7.13 |
| 8 | 3.59 |
| 9 | 8.40 |
| 10 | 6.45 |
| 11 | 7.63 |
| 12 | 7.14 |